No. 1
DFT (PBE-GGA) results for crystalline CaBeBr2 at its relaxed geometry.

As for the uncorrected formation energy: -0.4951 eV per atom. For the energy above the most stable polymorph in this dataset, the calculation gives 304 meV/atom. The value obtained for the total energy is -22.11 eV per cell.

It has space group Immm (No. 71), with a = 4.124 Å, b = 6.327 Å, c = 9.890 Å, α = 90.00°, β = 90.00° and γ = 90.00°. The distinct sites, in fractional coordinates, are Ca at (0.000, 0.000, 0.000), Be at (0.000, 0.000, 0.500) and Br at (0.000, 0.500, 0.304).

=====

No. 2
DFT (PBE-GGA) results for crystalline Ta2AlFe at its relaxed geometry.

The calculation puts the density of states at the Fermi level at 4.9 states/eV/cell. The energy of formation from the pure elements comes out at -138 meV per atom. The value obtained for the total energy is -72.93 eV per cell.

It has space group Cm (No. 8), with a = 10.087 Å, b = 3.061 Å, c = 4.523 Å, α = 90.00°, β = 116.53° and γ = 90.00°. The distinct sites, in fractional coordinates, are Ta at (0.000, 0.000, 0.000), Ta at (0.234, 0.000, 0.735), Al at (0.450, 0.000, 0.450) and Fe at (0.225, 0.500, 0.227).